(1)
A relaxed structure of CaYBe2, computed with GGA-PBE.

Cell and atoms, written as extended XYZ:
```
4
Lattice="4.767 -1.977 0.000 4.767 1.977 0.000 -4.046 0.000 5.168" Properties=species:S:1:pos:R:3 pbc="T T T"
Ca 0.000 0.000 0.000
Y 2.744 0.000 2.584
Be 0.009 0.000 2.904
Be 5.478 0.000 2.263
```

Summary:
Crystal system = monoclinic
Offset from the most stable computed form = 72 meV/atom

=====

(2)
A relaxed structure of CaZrSc2, computed with GGA-PBE.

Cell and atoms, written as extended XYZ:
```
4
Lattice="-1.701 2.892 5.520 1.701 -2.892 5.520 1.701 2.892 -5.520" Properties=species:S:1:pos:R:3 pbc="T T T"
Ca 0.000 0.000 0.000
Zr 0.000 0.000 5.520
Sc 1.701 0.000 2.977
Sc 0.000 2.892 2.543
```

Summary:
Crystal system = orthorhombic
Offset from the most stable computed form = 180 meV/atom